(1)
# MgSc6Ir

MgSc6Ir after structural relaxation (PBE, Alexandria via LeMat-Bulk).

POSCAR file:
```
MgSc6Ir
1.0
6.533 0.000 0.000
0.000 10.688 0.000
-2.802 0.000 5.482
Mg Sc Ir
2 12 2
Cartesian
0.000 0.000 0.000
3.266 5.344 0.000
-0.705 3.130 4.095
-0.705 7.558 4.095
0.714 5.344 1.487
-0.249 0.000 3.995
1.170 2.214 1.387
1.170 8.474 1.387
2.561 2.214 4.095
2.561 8.474 4.095
3.980 0.000 1.487
3.017 5.344 3.995
4.436 3.130 1.387
4.436 7.558 1.387
-1.401 5.344 2.741
1.865 0.000 2.741
```

The calculation puts the formation energy at -0.039 eV/atom.


(2)
# Rb3Np3VTe8

Rb3Np3VTe8 after structural relaxation (PBE, Alexandria via LeMat-Bulk).

POSCAR file:
```
Rb3Np3VTe8
1.0
4.392 2.536 8.802
-4.392 2.536 8.802
0.000 -5.071 8.802
Rb Np V Te
3 3 1 8
Cartesian
-2.196 -1.268 8.802
-2.196 1.268 17.604
0.000 2.536 8.802
-4.392 0.000 13.203
-2.196 1.268 4.401
2.196 1.268 4.401
0.000 0.000 13.203
0.000 0.000 6.194
-2.061 -1.190 14.849
0.000 -2.380 11.556
-2.061 1.190 11.556
2.061 -1.190 14.849
0.000 2.380 14.849
2.061 1.190 11.556
0.000 0.000 20.212
```

Its uncorrected formation energy is -0.75 eV/atom.


(3)
# Cd2NiRh

Cd2NiRh after structural relaxation (PBE, Alexandria via LeMat-Bulk).

POSCAR file:
```
Cd2NiRh
1.0
10.063 0.000 0.000
0.000 2.954 0.000
-1.646 0.000 4.435
Cd Ni Rh
4 2 2
Cartesian
0.000 0.000 0.000
1.140 0.000 2.829
5.031 1.477 0.000
6.171 1.477 2.829
3.899 0.000 2.146
8.930 1.477 2.146
2.326 1.477 0.737
7.357 0.000 0.737
```

The calculation puts the formation energy at 0.016 eV/atom.


(4)
# LaScSb2I

LaScSb2I after structural relaxation (PBE, Alexandria via LeMat-Bulk).

POSCAR file:
```
LaScSb2I
1.0
5.510 0.000 0.000
0.000 5.510 0.000
0.000 0.000 5.533
La Sc Sb I
1 1 2 1
Cartesian
0.000 0.000 0.000
2.755 2.755 2.767
0.000 2.755 2.767
2.755 0.000 2.767
2.755 2.755 0.000
```

As for the polymorph energy (0 for the lowest one): 0 meV per atom. Its uncorrected formation energy is -0.54 eV/atom.


(5)
# HfMg2S4

HfMg2S4 after structural relaxation (PBE, Alexandria via LeMat-Bulk).

POSCAR file:
```
HfMg2S4
1.0
7.574 0.000 0.000
0.000 7.574 0.000
0.000 0.000 10.600
Hf Mg S
4 8 16
Cartesian
0.000 1.983 0.000
0.000 5.591 5.300
1.983 0.000 7.950
5.591 0.000 2.650
1.901 1.901 3.975
1.901 5.673 1.325
1.908 3.787 7.950
3.787 1.908 0.000
3.787 5.666 5.300
5.666 3.787 2.650
5.673 1.901 6.625
5.673 5.673 9.275
0.117 1.835 8.050
0.117 5.739 7.850
1.835 0.117 10.500
1.835 7.457 5.400
1.864 3.644 10.554
1.864 3.930 5.346
3.644 1.864 7.996
3.644 5.710 7.904
3.930 1.864 2.604
3.930 5.710 2.696
5.710 3.644 0.046
5.710 3.930 5.254
5.739 0.117 0.100
5.739 7.457 5.200
7.457 1.835 2.550
7.457 5.739 2.750
```

As for the polymorph energy (0 for the lowest one): 0 meV per atom. Its uncorrected formation energy is -1.47 eV/atom.


(6)
# KFe3

KFe3 after structural relaxation (PBE, Alexandria via LeMat-Bulk).

POSCAR file:
```
KFe3
1.0
3.077 0.000 0.000
0.000 3.077 0.000
0.000 0.000 7.885
K Fe
1 3
Cartesian
0.000 0.000 0.000
0.000 0.000 3.943
1.539 1.539 2.764
1.539 1.539 5.121
```

The calculation puts the formation energy at 0.685 eV/atom.


| no. | size of the total moment (μB per cell) | DOS(E_F) (states/eV per cell) | energy (eV/cell) |
| --- | --- | --- | --- |
| 1 | 0.00 | 20.8 | -97.52 |
| 2 | 13.00 | 25.2 | -87.23 |
| 3 | 1.08 | 6.6 | -29.80 |
| 4 | 0.00 | 4.1 | -23.76 |
| 5 | 0.00 | 0.0 | -159.88 |
| 6 | 7.97 | 3.8 | -23.75 |